1.
First-principles (meta-GGA SCAN) data for ScFe3Tc at its PBEsol-relaxed geometry, as listed in Alexandria.

Cell lengths 4.327, 4.327, 4.327 Å; angles 90.00, 90.00, 90.00 degrees
Element x y z (fractional)
Sc (0.000, 0.000, 0.000)
Fe (0.000, 0.500, 0.500)
Fe (0.500, 0.000, 0.500)
Fe (0.500, 0.500, 0.000)
Tc (0.500, 0.500, 0.500)

Results
Formation enthalpy at 0 K   0.9747 eV per atom

=====

2.
First-principles (meta-GGA SCAN) data for Li2MnFeB2O6 at its PBEsol-relaxed geometry, as listed in Alexandria.

Cell lengths 8.140, 8.140, 6.108 Å; angles 90.00, 90.00, 120.00 degrees
Element x y z (fractional)
Li (0.015, 0.301, 0.248)
Li (0.015, 0.301, 0.752)
Li (0.286, 0.985, 0.248)
Li (0.286, 0.985, 0.752)
Li (0.699, 0.714, 0.248)
Li (0.699, 0.714, 0.752)
Mn (0.368, 0.357, 0.500)
Mn (0.643, 0.011, 0.500)
Mn (0.989, 0.632, 0.500)
Fe (0.368, 0.362, 0.000)
Fe (0.638, 0.006, 0.000)
Fe (0.994, 0.632, 0.000)
B (0.000, 0.000, 0.000)
B (0.000, 0.000, 0.500)
B (0.333, 0.667, 0.244)
B (0.333, 0.667, 0.756)
B (0.667, 0.333, 0.243)
B (0.667, 0.333, 0.757)
O (0.079, 0.196, 0.500)
O (0.091, 0.197, 0.000)
O (0.105, 0.909, 0.000)
O (0.116, 0.921, 0.500)
O (0.137, 0.578, 0.246)
O (0.137, 0.578, 0.754)
O (0.422, 0.560, 0.246)
O (0.422, 0.560, 0.754)
O (0.440, 0.863, 0.246)
O (0.440, 0.863, 0.754)
O (0.471, 0.254, 0.243)
O (0.471, 0.254, 0.757)
O (0.746, 0.217, 0.243)
O (0.746, 0.217, 0.757)
O (0.783, 0.529, 0.243)
O (0.783, 0.529, 0.757)
O (0.803, 0.895, 0.000)
O (0.804, 0.884, 0.500)

Results
Formation energy without anion corrections   -2.27 eV/atom
Polymorph energy (0 for the lowest one)   6 meV/atom

=====

3.
First-principles (meta-GGA SCAN) data for ReW4 at its PBEsol-relaxed geometry, as listed in Alexandria.

Cell lengths 11.318, 11.209, 2.719 Å; angles 85.37, 80.78, 13.86 degrees
Element x y z (fractional)
Re (0.000, 0.000, 0.000)
W (0.200, 0.200, 0.800)
W (0.401, 0.401, 0.599)
W (0.599, 0.599, 0.401)
W (0.800, 0.800, 0.200)

Results
Formation enthalpy at 0 K   0.0378 eV per atom
Polymorph energy (0 for the lowest one)   26 meV/atom

=====

4.
First-principles (meta-GGA SCAN) data for BaMn2Pt at its PBEsol-relaxed geometry, as listed in Alexandria.

Cell lengths 6.202, 6.202, 6.202 Å; angles 41.19, 41.19, 41.19 degrees
Element x y z (fractional)
Ba (0.000, 0.000, 0.000)
Mn (0.195, 0.195, 0.195)
Mn (0.805, 0.805, 0.805)
Pt (0.500, 0.500, 0.500)

Results
Formation enthalpy at 0 K   -0.3679 eV per atom

=====

5.
First-principles (meta-GGA SCAN) data for Mg3Al2Cu4 at its PBEsol-relaxed geometry, as listed in Alexandria.

Cell lengths 5.024, 5.024, 12.110 Å; angles 90.67, 90.67, 60.28 degrees
Element x y z (fractional)
Mg (0.007, 0.007, 0.370)
Mg (0.334, 0.334, 0.040)
Mg (0.336, 0.336, 0.282)
Mg (0.664, 0.664, 0.718)
Mg (0.666, 0.666, 0.960)
Mg (0.993, 0.993, 0.630)
Al (0.000, 0.000, 0.000)
Al (0.322, 0.322, 0.672)
Al (0.500, 0.500, 0.500)
Al (0.678, 0.678, 0.328)
Cu (0.000, 0.500, 0.500)
Cu (0.164, 0.164, 0.837)
Cu (0.166, 0.665, 0.835)
Cu (0.335, 0.834, 0.165)
Cu (0.500, 0.000, 0.500)
Cu (0.665, 0.166, 0.835)
Cu (0.834, 0.335, 0.165)
Cu (0.836, 0.836, 0.163)

Results
Formation enthalpy at 0 K   -0.2867 eV per atom
Polymorph energy (0 for the lowest one)   0 meV/atom

=====

6.
First-principles (meta-GGA SCAN) data for ZrCu2Sb at its PBEsol-relaxed geometry, as listed in Alexandria.

Cell lengths 3.077, 4.220, 5.397 Å; angles 90.00, 90.00, 90.00 degrees
Element x y z (fractional)
Zr (0.000, 0.000, 0.000)
Cu (0.500, 0.000, 0.451)
Cu (0.500, 0.500, 0.228)
Sb (0.500, 0.500, 0.728)

Results
Formation energy without anion corrections   -0.14 eV/atom

=====

7.
First-principles (meta-GGA SCAN) data for Na3TbBr6 at its PBEsol-relaxed geometry, as listed in Alexandria.

Cell lengths 7.114, 7.689, 12.663 Å; angles 90.00, 123.11, 90.00 degrees
Element x y z (fractional)
Na (0.000, 0.000, 0.000)
Na (0.000, 0.500, 0.500)
Na (0.204, 0.094, 0.741)
Na (0.204, 0.406, 0.241)
Na (0.796, 0.594, 0.759)
Na (0.796, 0.906, 0.259)
Tb (0.500, 0.000, 0.500)
Tb (0.500, 0.500, 0.000)
Br (0.112, 0.180, 0.431)
Br (0.112, 0.320, 0.931)
Br (0.253, 0.693, 0.420)
Br (0.253, 0.807, 0.920)
Br (0.408, 0.061, 0.259)
Br (0.408, 0.439, 0.759)
Br (0.592, 0.561, 0.241)
Br (0.592, 0.939, 0.741)
Br (0.747, 0.193, 0.080)
Br (0.747, 0.307, 0.580)
Br (0.888, 0.680, 0.069)
Br (0.888, 0.820, 0.569)

Results
Formation energy without anion corrections   -1.88 eV/atom

=====

8.
First-principles (meta-GGA SCAN) data for N at its PBEsol-relaxed geometry, as listed in Alexandria.

Cell lengths 2.169, 6.610, 3.229 Å; angles 90.00, 90.00, 90.00 degrees
Element x y z (fractional)
N (0.021, 0.250, 0.141)
N (0.479, 0.750, 0.641)
N (0.521, 0.250, 0.359)
N (0.979, 0.750, 0.859)

Results
Formation energy without anion corrections   1.07 eV/atom
Polymorph energy (0 for the lowest one)   1066 meV/atom

=====

9.
First-principles (meta-GGA SCAN) data for Ta2GaSbW at its PBEsol-relaxed geometry, as listed in Alexandria.

Cell lengths 4.905, 4.905, 5.023 Å; angles 90.00, 90.00, 90.00 degrees
Element x y z (fractional)
Ta (0.000, 0.500, 0.000)
Ta (0.500, 0.000, 0.000)
Ga (0.000, 0.000, 0.500)
Sb (0.500, 0.500, 0.500)
W (0.500, 0.500, 0.000)

Results
Formation energy without anion corrections   1.47 eV/atom

=====

10.
First-principles (meta-GGA SCAN) data for Tl2HgCl at its PBEsol-relaxed geometry, as listed in Alexandria.

Cell lengths 6.089, 6.089, 5.177 Å; angles 90.12, 90.12, 33.83 degrees
Element x y z (fractional)
Tl (0.000, 0.000, 0.000)
Tl (0.239, 0.239, 0.501)
Hg (0.740, 0.740, 0.001)
Cl (0.493, 0.493, 0.500)

Results
Formation energy without anion corrections   -0.46 eV/atom
Polymorph energy (0 for the lowest one)   20 meV/atom

=====

11.
First-principles (meta-GGA SCAN) data for CeAl2Au2 at its PBEsol-relaxed geometry, as listed in Alexandria.

Cell lengths 4.350, 4.350, 10.333 Å; angles 90.00, 90.00, 90.00 degrees
Element x y z (fractional)
Ce (0.250, 0.250, 0.248)
Ce (0.750, 0.750, 0.752)
Al (0.250, 0.250, 0.869)
Al (0.250, 0.750, 0.500)
Al (0.750, 0.250, 0.500)
Al (0.750, 0.750, 0.131)
Au (0.250, 0.250, 0.630)
Au (0.250, 0.750, 0.000)
Au (0.750, 0.250, 0.000)
Au (0.750, 0.750, 0.370)

Results
Formation enthalpy at 0 K   -0.9733 eV per atom

=====

12.
First-principles (meta-GGA SCAN) data for ErAl2Si2 at its PBEsol-relaxed geometry, as listed in Alexandria.

Cell lengths 4.166, 4.166, 6.413 Å; angles 90.00, 90.00, 120.00 degrees
Element x y z (fractional)
Er (0.000, 0.000, 0.000)
Al (0.333, 0.667, 0.647)
Al (0.667, 0.333, 0.353)
Si (0.333, 0.667, 0.254)
Si (0.667, 0.333, 0.746)

Results
Formation energy without anion corrections   -0.37 eV/atom

=====

13.
First-principles (meta-GGA SCAN) data for Sr2Hg at its PBEsol-relaxed geometry, as listed in Alexandria.

Cell lengths 8.257, 8.257, 7.629 Å; angles 110.57, 110.57, 29.00 degrees
Element x y z (fractional)
Sr (0.024, 0.024, 0.261)
Sr (0.283, 0.283, 0.261)
Sr (0.717, 0.717, 0.739)
Sr (0.976, 0.976, 0.739)
Hg (0.384, 0.384, 0.948)
Hg (0.616, 0.616, 0.052)

Results
Formation enthalpy at 0 K   -0.4724 eV per atom

=====

14.
First-principles (meta-GGA SCAN) data for MgBiI2N at its PBEsol-relaxed geometry, as listed in Alexandria.

Cell lengths 5.781, 5.781, 3.968 Å; angles 90.00, 90.00, 90.00 degrees
Element x y z (fractional)
Mg (0.000, 0.000, 0.000)
Bi (0.500, 0.500, 0.500)
I (0.000, 0.500, 0.000)
I (0.500, 0.000, 0.000)
N (0.000, 0.000, 0.500)

Results
Formation energy without anion corrections   0.28 eV/atom
Polymorph energy (0 for the lowest one)   0 meV/atom

=====

15.
First-principles (meta-GGA SCAN) data for Fe3CuP4O16 at its PBEsol-relaxed geometry, as listed in Alexandria.

Cell lengths 4.799, 5.824, 9.767 Å; angles 90.00, 90.08, 90.00 degrees
Element x y z (fractional)
Fe (0.000, 0.000, 0.000)
Fe (0.094, 0.500, 0.447)
Fe (0.595, 0.000, 0.498)
Cu (0.483, 0.500, 0.942)
P (0.144, 0.000, 0.316)
P (0.446, 0.000, 0.823)
P (0.645, 0.500, 0.630)
P (0.972, 0.500, 0.124)
O (0.207, 0.000, 0.162)
O (0.288, 0.500, 0.109)
O (0.289, 0.203, 0.894)
O (0.289, 0.797, 0.894)
O (0.294, 0.205, 0.390)
O (0.294, 0.795, 0.390)
O (0.332, 0.500, 0.601)
O (0.403, 0.000, 0.668)
O (0.706, 0.500, 0.782)
O (0.761, 0.000, 0.850)
O (0.794, 0.295, 0.554)
O (0.794, 0.705, 0.554)
O (0.825, 0.291, 0.052)
O (0.825, 0.709, 0.052)
O (0.831, 0.000, 0.341)
O (0.903, 0.500, 0.278)

Results
Formation energy without anion corrections   -2.02 eV/atom

=====

16.
First-principles (meta-GGA SCAN) data for MgFe2As at its PBEsol-relaxed geometry, as listed in Alexandria.

Cell lengths 2.786, 4.104, 4.924 Å; angles 90.00, 95.69, 90.00 degrees
Element x y z (fractional)
Mg (0.000, 0.000, 0.000)
Fe (0.397, 0.500, 0.749)
Fe (0.603, 0.500, 0.251)
As (0.500, 0.000, 0.500)

Results
Formation enthalpy at 0 K   0.0686 eV per atom

=====

17.
First-principles (meta-GGA SCAN) data for Tl2TcCS at its PBEsol-relaxed geometry, as listed in Alexandria.

Cell lengths 5.528, 5.528, 3.313 Å; angles 90.00, 90.00, 90.00 degrees
Element x y z (fractional)
Tl (0.000, 0.500, 0.000)
Tl (0.500, 0.000, 0.000)
Tc (0.000, 0.000, 0.500)
C (0.500, 0.500, 0.500)
S (0.500, 0.500, 0.000)

Results
Formation energy without anion corrections   1.51 eV/atom

=====

18.
First-principles (meta-GGA SCAN) data for LaMg2In at its PBEsol-relaxed geometry, as listed in Alexandria.

Cell lengths 5.667, 5.667, 6.014 Å; angles 101.82, 101.82, 33.60 degrees
Element x y z (fractional)
La (0.000, 0.000, 0.000)
Mg (0.235, 0.235, 0.720)
Mg (0.765, 0.765, 0.280)
In (0.500, 0.500, 0.500)

Results
Formation enthalpy at 0 K   -0.2147 eV per atom

=====

19.
First-principles (meta-GGA SCAN) data for AlZnIr4 at its PBEsol-relaxed geometry, as listed in Alexandria.

Cell lengths 5.106, 5.106, 5.106 Å; angles 60.00, 60.00, 60.00 degrees
Element x y z (fractional)
Al (0.000, 0.000, 0.000)
Zn (0.750, 0.750, 0.750)
Ir (0.375, 0.375, 0.375)
Ir (0.375, 0.375, 0.875)
Ir (0.375, 0.875, 0.375)
Ir (0.875, 0.375, 0.375)

Results
Formation enthalpy at 0 K   0.1827 eV per atom

=====

20.
First-principles (meta-GGA SCAN) data for ZrTiRh2I at its PBEsol-relaxed geometry, as listed in Alexandria.

Cell lengths 4.744, 4.744, 4.952 Å; angles 90.00, 90.00, 90.00 degrees
Element x y z (fractional)
Zr (0.000, 0.000, 0.000)
Ti (0.000, 0.000, 0.500)
Rh (0.000, 0.500, 0.000)
Rh (0.500, 0.000, 0.000)
I (0.500, 0.500, 0.500)

Results
Formation energy without anion corrections   1.06 eV/atom